This record from the Alexandria database describes a relaxed structure of SrUFe2O6. The functional is PBE+U.

Results
Its space group is No. 1. The calculation puts the final energy at -78.05 eV for the cell shown. The value obtained for the magnetization is 8.0 μB/f.u.

Unit cell a=5.590 b=5.664 c=5.922 alpha=90.32 beta=116.86 gamma=119.19
Sites, in units of the cell vectors:
Sr (0.000, 0.000, 0.000)
U (0.972, 0.486, 0.448)
Fe (0.551, 0.266, 0.825)
Fe (0.582, 0.812, 0.366)
O (0.091, 0.211, 0.637)
O (0.108, 0.452, 0.187)
O (0.443, 0.879, 0.631)
O (0.537, 0.104, 0.153)
O (0.750, 0.666, 0.199)
O (0.776, 0.537, 0.660)